This record from Alexandria via LeMat-Bulk describes a geometry-optimized NdNiPb structure. The functional is PBE-GGA.

Unit cell a=3.453 b=3.453 c=6.333 alpha=105.82 beta=105.82 gamma=90.00
Sites, in units of the cell vectors:
Pb: 0.921 0.921 0.842
Ni: 0.289 0.289 0.579
Nd: 0.639 0.639 0.279

crystal system	tetragonal
magnetic moment	0.00	μB/atom
formation enthalpy at 0 K	-0.505	eV per formula unit
total DFT energy (no corrections)	-4.9207	eV per atom